(1)
A plane-wave DFT calculation with PBE was carried out for a relaxed CrSnRh2 crystal.

The calculation puts the magnetic moment at 0.849 μB/atom. For the density, the calculation gives 10.00 g/cm³. As for the energy of formation: -159 meV per atom.

The structure belongs to space group P4/mmm (No. 123); the cell edges are 3.247, 3.247 and 5.930 Å and the angles 90.00°, 90.00° and 90.00°. The distinct sites, in fractional coordinates, are Cr at (0.000, 0.000, 0.000), Sn at (0.000, 0.000, 0.500) and Rh at (0.500, 0.500, 0.239).

(2)
A plane-wave DFT calculation with PBE was carried out for a relaxed CrSnRh crystal.

The calculation puts the magnetic moment at 0.873 μB/atom. For the density, the calculation gives 8.93 g/cm³. As for the energy of formation: 196 meV per atom.

The structure belongs to space group P-6m2 (No. 187); the cell edges are 3.1048, 3.1048 and 12.1873 Å and the angles 90.00°, 90.00° and 120.00°. The distinct sites, in fractional coordinates, are Cr at (0.0000, 0.0000, 0.0000), Cr at (0.3333, 0.6667, 0.5000), Sn at (0.0000, 0.0000, 0.3251) and Rh at (0.3333, 0.6667, 0.1554).

(3)
A plane-wave DFT calculation with PBE was carried out for a relaxed CrSnRh3 crystal.

The calculation puts the magnetic moment at 0.000 μB/atom. As for the energy relative to the lowest polymorph listed for this composition: 0.00 eV/f.u. For the density, the calculation gives 8.74 g/cm³. As for the energy of formation: 611 meV per atom.

The structure belongs to space group Pm-3m (No. 221); the cell edges are 4.499, 4.499 and 4.499 Å and the angles 90.00°, 90.00° and 90.00°. The distinct sites, in fractional coordinates, are Cr at (0.000, 0.000, 0.000), Sn at (0.500, 0.500, 0.500) and Rh at (0.000, 0.000, 0.500).

(4)
A plane-wave DFT calculation with PBE was carried out for a relaxed CrSnRh2 crystal.

The calculation puts the magnetic moment at 0.899 μB/atom. For the density, the calculation gives 9.99 g/cm³. As for the energy of formation: -258 meV per atom.

The structure belongs to space group P4/mmm (No. 123); the cell edges are 4.181, 4.181 and 3.580 Å and the angles 90.00°, 90.00° and 90.00°. The distinct sites, in fractional coordinates, are Cr at (0.000, 0.000, 0.000), Sn at (0.500, 0.500, 0.000) and Rh at (0.000, 0.500, 0.500).

(5)
A plane-wave DFT calculation with PBE was carried out for a relaxed CrSnRh6 crystal.

The calculation puts the magnetic moment at 0.110 μB/atom. For the density, the calculation gives 11.22 g/cm³. As for the energy of formation: -215 meV per atom.

The structure belongs to space group P4/mmm (No. 123); the cell edges are 3.874, 3.874 and 7.773 Å and the angles 90.00°, 90.00° and 90.00°. The distinct sites, in fractional coordinates, are Cr at (0.000, 0.000, 0.000), Sn at (0.000, 0.000, 0.500), Rh at (0.000, 0.500, 0.234), Rh at (0.500, 0.500, 0.000) and Rh at (0.500, 0.500, 0.500).

(6)
A plane-wave DFT calculation with PBE was carried out for a relaxed CrSnRh2 crystal.

The calculation puts the magnetic moment at 0.010 μB/atom. For the density, the calculation gives 9.41 g/cm³. As for the energy of formation: 336 meV per atom.

The structure belongs to space group Immm (No. 71); the cell edges are 2.827, 4.520 and 10.394 Å and the angles 90.00°, 90.00° and 90.00°. The distinct sites, in fractional coordinates, are Cr at (0.000, 0.000, 0.000), Sn at (0.000, 0.000, 0.500) and Rh at (0.000, 0.000, 0.218).

(7)
A plane-wave DFT calculation with PBE was carried out for a relaxed CrSnRh2 crystal.

The calculation puts the magnetic moment at 0.696 μB/atom. For the density, the calculation gives 10.15 g/cm³. As for the energy of formation: -299 meV per atom.

The structure belongs to space group I4/mmm (No. 139); the cell edges are 4.130, 4.130 and 7.220 Å and the angles 90.00°, 90.00° and 90.00°. The distinct sites, in fractional coordinates, are Cr at (0.000, 0.000, 0.000), Sn at (0.000, 0.000, 0.500) and Rh at (0.000, 0.500, 0.250).

(8)
A plane-wave DFT calculation with PBE was carried out for a relaxed CrSn3Rh crystal.

The calculation puts the magnetic moment at 0.832 μB/atom. As for the energy relative to the lowest polymorph listed for this composition: 0.00 eV/f.u. For the density, the calculation gives 6.35 g/cm³. As for the energy of formation: 423 meV per atom.

The structure belongs to space group Pm-3m (No. 221); the cell edges are 5.112, 5.112 and 5.112 Å and the angles 90.00°, 90.00° and 90.00°. The distinct sites, in fractional coordinates, are Cr at (0.000, 0.000, 0.000), Sn at (0.000, 0.500, 0.500) and Rh at (0.500, 0.500, 0.500).

(9)
A plane-wave DFT calculation with PBE was carried out for a relaxed CrSnRh2 crystal.

The calculation puts the magnetic moment at 0.000 μB/atom. For the density, the calculation gives 9.21 g/cm³. As for the energy of formation: 349 meV per atom.

The structure belongs to space group I-42d (No. 122); the cell edges are 3.993, 3.993 and 17.037 Å and the angles 90.00°, 90.00° and 90.00°. The distinct sites, in fractional coordinates, are Cr at (0.000, 0.000, 0.000), Sn at (0.000, 0.000, 0.500) and Rh at (0.217, 0.250, 0.125).

(10)
A plane-wave DFT calculation with PBE was carried out for a relaxed ZnCrSnRh crystal.

The calculation puts the magnetic moment at 0.842 μB/atom. For the density, the calculation gives 8.90 g/cm³. As for the energy of formation: -138 meV per atom.

The structure belongs to space group F-43m (No. 216); the cell edges are 6.324, 6.324 and 6.324 Å and the angles 90.00°, 90.00° and 90.00°. The distinct sites, in fractional coordinates, are Zn at (0.000, 0.000, 0.000), Cr at (0.250, 0.250, 0.750), Sn at (0.000, 0.000, 0.500) and Rh at (0.250, 0.250, 0.250).

(11)
A plane-wave DFT calculation with PBE was carried out for a relaxed SrCrRh2 crystal.

The calculation puts the magnetic moment at 0.670 μB/atom. As for the energy relative to the lowest polymorph listed for this composition: 0.00 eV/f.u. For the density, the calculation gives 6.65 g/cm³. As for the energy of formation: 51 meV per atom.

The structure belongs to space group R-3m (No. 166, hexagonal axes); the cell edges are 4.2871, 4.2871 and 16.2594 Å and the angles 90.00°, 90.00° and 120.00°. The distinct sites, in fractional coordinates, are Sr at (0.0000, 0.0000, 0.0000), Cr at (0.0000, 0.0000, 0.5000) and Rh at (0.0000, 0.0000, 0.1997).

(12)
A plane-wave DFT calculation with PBE was carried out for a relaxed SrCrRh2 crystal.

The calculation puts the magnetic moment at 0.619 μB/atom. As for the energy relative to the lowest polymorph listed for this composition: 1.15 eV/f.u. For the density, the calculation gives 7.31 g/cm³. As for the energy of formation: 340 meV per atom.

The structure belongs to space group P4mm (No. 99); the cell edges are 3.358, 3.358 and 6.958 Å and the angles 90.00°, 90.00° and 90.00°. The distinct sites, in fractional coordinates, are Sr at (0.000, 0.000, 0.000), Cr at (0.500, 0.500, 0.373), Rh at (0.000, 0.000, 0.484) and Rh at (0.500, 0.500, 0.723).

(13)
A plane-wave DFT calculation with PBE was carried out for a relaxed SrCr3Rh crystal.

The calculation puts the magnetic moment at 0.001 μB/atom. As for the energy relative to the lowest polymorph listed for this composition: 9.92 eV/f.u. For the density, the calculation gives 6.91 g/cm³. As for the energy of formation: 2847 meV per atom.

The structure belongs to space group Pm-3m (No. 221); the cell edges are 4.367, 4.367 and 4.367 Å and the angles 90.00°, 90.00° and 90.00°. The distinct sites, in fractional coordinates, are Sr at (0.000, 0.000, 0.000), Cr at (0.000, 0.000, 0.500) and Rh at (0.500, 0.500, 0.500).

(14)
A plane-wave DFT calculation with PBE was carried out for a relaxed SrCrRh2 crystal.

The calculation puts the magnetic moment at 1.004 μB/atom. As for the energy relative to the lowest polymorph listed for this composition: 1.55 eV/f.u. For the density, the calculation gives 7.82 g/cm³. As for the energy of formation: 439 meV per atom.

The structure belongs to space group P2/m (No. 10); the cell edges are 4.808, 3.064 and 5.342 Å and the angles 90.00°, 111.24° and 90.00°. The distinct sites, in fractional coordinates, are Sr at (0.000, 0.000, 0.000), Cr at (0.000, 0.500, 0.500), Rh at (0.500, 0.000, 0.500) and Rh at (0.500, 0.500, 0.000).

(15)
A plane-wave DFT calculation with PBE was carried out for a relaxed SrCr4Rh crystal.

The calculation puts the magnetic moment at 0.000 μB/atom. For the density, the calculation gives 7.32 g/cm³. As for the energy of formation: 703 meV per atom.

The structure belongs to space group F-43m (No. 216); the cell edges are 7.126, 7.126 and 7.126 Å and the angles 90.00°, 90.00° and 90.00°. The distinct sites, in fractional coordinates, are Sr at (0.000, 0.000, 0.000), Cr at (0.125, 0.125, 0.625) and Rh at (0.250, 0.250, 0.250).

(16)
A plane-wave DFT calculation with PBE was carried out for a relaxed SrCrRh2 crystal.

The calculation puts the magnetic moment at 0.000 μB/atom. As for the energy relative to the lowest polymorph listed for this composition: 2.01 eV/f.u. For the density, the calculation gives 8.25 g/cm³. As for the energy of formation: 555 meV per atom.

The structure belongs to space group Fm-3m (No. 225); the cell edges are 6.528, 6.528 and 6.528 Å and the angles 90.00°, 90.00° and 90.00°. The distinct sites, in fractional coordinates, are Sr at (0.000, 0.000, 0.000), Cr at (0.000, 0.000, 0.500) and Rh at (0.250, 0.250, 0.250).

(17)
A plane-wave DFT calculation with PBE was carried out for a relaxed SrCrRh2 crystal.

The calculation puts the magnetic moment at 0.765 μB/atom. As for the energy relative to the lowest polymorph listed for this composition: 1.24 eV/f.u. For the density, the calculation gives 5.76 g/cm³. As for the energy of formation: 362 meV per atom.

The structure belongs to space group I-42d (No. 122); the cell edges are 5.029, 5.029 and 15.743 Å and the angles 90.00°, 90.00° and 90.00°. The distinct sites, in fractional coordinates, are Sr at (0.000, 0.000, 0.000), Cr at (0.000, 0.000, 0.500) and Rh at (0.066, 0.250, 0.625).

(18)
A plane-wave DFT calculation with PBE was carried out for a relaxed SrCrRh crystal.

The calculation puts the magnetic moment at 1.210 μB/atom. As for the energy relative to the lowest polymorph listed for this composition: 0.00 eV/f.u. For the density, the calculation gives 5.44 g/cm³. As for the energy of formation: 211 meV per atom.

The structure belongs to space group P-6m2 (No. 187); the cell edges are 4.2282, 4.2282 and 4.7853 Å and the angles 90.00°, 90.00° and 120.00°. The distinct sites, in fractional coordinates, are Sr at (0.0000, 0.0000, 0.0000), Cr at (0.6667, 0.3333, 0.5000) and Rh at (0.3333, 0.6667, 0.5000).

(19)
A plane-wave DFT calculation with PBE was carried out for a relaxed SrCrRh2 crystal.

The calculation puts the magnetic moment at 0.850 μB/atom. As for the energy relative to the lowest polymorph listed for this composition: 1.01 eV/f.u. For the density, the calculation gives 7.88 g/cm³. As for the energy of formation: 303 meV per atom.

The structure belongs to space group Cmmm (No. 65); the cell edges are 6.638, 6.866 and 3.195 Å and the angles 90.00°, 90.00° and 90.00°. The distinct sites, in fractional coordinates, are Sr at (0.000, 0.000, 0.000), Cr at (0.000, 0.500, 0.000) and Rh at (0.250, 0.250, 0.500).

(20)
A plane-wave DFT calculation with PBE was carried out for a relaxed Sr3CrRh crystal.

The calculation puts the magnetic moment at 1.028 μB/atom. For the density, the calculation gives 3.61 g/cm³. As for the energy of formation: 295 meV per atom.

The structure belongs to space group Pm-3m (No. 221); the cell edges are 5.773, 5.773 and 5.773 Å and the angles 90.00°, 90.00° and 90.00°. The distinct sites, in fractional coordinates, are Sr at (0.000, 0.000, 0.500), Cr at (0.500, 0.500, 0.500) and Rh at (0.000, 0.000, 0.000).

no.,total energy (eV/atom)
1,-7.2414
2,-6.7969
3,-6.5255
4,-7.3401
5,-7.4316
6,-6.7467
7,-7.3811
8,-5.3742
9,-6.7336
10,-5.7004
11,-6.4507
12,-6.1622
13,-4.7342
14,-6.0633
15,-7.2184
16,-5.9472
17,-6.1395
18,-6.0082
19,-6.1991
20,-4.1089